No. 1
DFT (SCAN) results for a crystal of CaSc3Cr relaxed with PBEsol.

Cell and atoms, written as POSCAR:
```
CaSc3Cr
1.0
4.974 0.000 0.000
0.000 4.974 0.000
0.000 0.000 4.974
Ca Sc Cr
1 3 1
Direct
0.000 0.000 0.000
0.000 0.500 0.500
0.500 0.000 0.500
0.500 0.500 0.000
0.500 0.500 0.500
```

Properties
Formation energy = 0.27 eV per atom



No. 2
DFT (SCAN) results for a crystal of CaScCr2 relaxed with PBEsol.

Cell and atoms, written as POSCAR:
```
CaScCr2
1.0
3.173 0.000 0.000
-1.586 2.748 0.000
0.000 0.000 28.096
Ca Sc Cr
3 3 6
Direct
0.000 0.000 0.000
0.333 0.667 0.667
0.667 0.333 0.333
0.000 0.000 0.500
0.333 0.667 0.167
0.667 0.333 0.833
0.000 0.000 0.243
0.000 0.000 0.757
0.333 0.667 0.423
0.333 0.667 0.910
0.667 0.333 0.090
0.667 0.333 0.577
```

Properties
Formation energy = 0.57 eV per atom
Relative energy among the computed polymorphs = 114 meV/atom



No. 3
DFT (SCAN) results for a crystal of CaCrSe2 relaxed with PBEsol.

Cell and atoms, written as POSCAR:
```
CaCrSe2
1.0
3.955 0.000 0.000
-1.978 3.425 0.000
0.000 0.000 18.869
Ca Cr Se
3 3 6
Direct
0.000 0.000 0.000
0.333 0.667 0.667
0.667 0.333 0.333
0.000 0.000 0.500
0.333 0.667 0.167
0.667 0.333 0.833
0.000 0.000 0.239
0.000 0.000 0.761
0.333 0.667 0.428
0.333 0.667 0.905
0.667 0.333 0.095
0.667 0.333 0.572
```

Properties
Relative energy among the computed polymorphs = 25 meV/atom
Raw formation energy = -1355 meV/atom



No. 4
DFT (SCAN) results for a crystal of CaCrSe2 relaxed with PBEsol.

Cell and atoms, written as POSCAR:
```
CaCrSe2
1.0
3.943 0.000 0.000
0.000 3.943 0.000
0.000 0.000 5.583
Ca Cr Se
1 1 2
Direct
0.000 0.000 0.000
0.500 0.500 0.500
0.000 0.000 0.500
0.500 0.500 0.000
```

Properties
Relative energy among the computed polymorphs = 0 meV/atom
Raw formation energy = -1380 meV/atom



No. 5
DFT (SCAN) results for a crystal of CaCr2Si relaxed with PBEsol.

Cell and atoms, written as POSCAR:
```
CaCr2Si
1.0
2.986 0.000 0.000
0.000 2.986 0.000
0.000 0.000 7.095
Ca Cr Si
1 2 1
Direct
0.000 0.000 0.000
0.000 0.000 0.499
0.500 0.500 0.342
0.500 0.500 0.699
```

Properties
Relative energy among the computed polymorphs = 0 meV/atom
Raw formation energy = 52 meV/atom



No. 6
DFT (SCAN) results for a crystal of CaCrSi relaxed with PBEsol.

Cell and atoms, written as POSCAR:
```
CaCrSi
1.0
3.241 0.000 0.000
0.000 3.241 0.000
0.000 0.000 10.478
Ca Cr Si
2 2 2
Direct
0.000 0.000 0.000
0.500 0.500 0.500
0.000 0.000 0.715
0.500 0.500 0.215
0.000 0.000 0.288
0.500 0.500 0.788
```

Properties
Raw formation energy = 39 meV/atom